This record from the Alexandria database describes Pm3Sm4Zn4 after structural relaxation. The functional is PBE.

abc: 5.054 7.557 15.982
angles: 90.00 90.00 90.00
Space group Immm (No. 71)
Symmetry-distinct sites (fractional):
Pm1 0.000 0.000 0.000 (multiplicity 2)
Pm2 0.000 0.500 0.106 (multiplicity 4)
Sm1 0.000 0.280 0.326 (multiplicity 8)
Zn1 0.000 0.000 0.195 (multiplicity 4)
Zn2 0.000 0.168 0.500 (multiplicity 4)

## Properties
**Total moment**: 0.00 μB/f.u.
**Energy relative to the elements**: -0.11 eV/atom
**Calculated volume**: 27.75 Å³ per atom